# 1
VASP calculation (GGA-PBE) on a geometry-optimized Ti8PbC4 structure.

Results
The energy of formation from the pure elements is -0.637 eV per atom. The space group is C2/m, No. 12. For the theoretical density, the calculation gives 5.82 g/cm3. As for the spin magnetization: 0.000 μB/f.u.

a = 7.7526 Å, b = 7.7526 Å, c = 10.7196 Å
α = 133.64°, β = 133.64°, γ = 23.50°
Fractional coordinates of all 13 atoms:
Ti 0.0406 0.0406 0.1975
Ti 0.3057 0.3057 0.4561
Ti 0.3452 0.3452 0.8857
Ti 0.3485 0.3485 0.1553
Ti 0.6515 0.6515 0.8447
Ti 0.6548 0.6548 0.1143
Ti 0.6943 0.6943 0.5439
Ti 0.9594 0.9594 0.8025
Pb 0.0000 0.0000 0.5000
C 0.1545 0.1545 0.9792
C 0.3253 0.3253 0.6701
C 0.6747 0.6747 0.3299
C 0.8455 0.8455 0.0208

---

# 2
VASP calculation (GGA-PBE) on a geometry-optimized Ti7PbC2 structure.

Results
The energy of formation from the pure elements is -0.148 eV per atom. The space group is Cmmm, No. 65. For the theoretical density, the calculation gives 5.83 g/cm3. As for the spin magnetization: 0.000 μB/f.u.

a = 6.5535 Å, b = 6.5535 Å, c = 4.1976 Å
α = 90.00°, β = 90.00°, γ = 116.47°
Fractional coordinates of all 10 atoms:
Ti 0.0000 0.0000 0.0000
Ti 0.1583 0.4339 0.0000
Ti 0.2197 0.7803 0.5000
Ti 0.4339 0.1583 0.0000
Ti 0.5661 0.8417 0.0000
Ti 0.7803 0.2197 0.5000
Ti 0.8417 0.5661 0.0000
Pb 0.5000 0.5000 0.5000
C 0.2042 0.7958 0.0000
C 0.7958 0.2042 0.0000

---

# 3
VASP calculation (GGA-PBE) on a geometry-optimized Ti6PbC structure.

Results
The energy of formation from the pure elements is -0.218 eV per atom. The space group is R-3m, No. 166. For the theoretical density, the calculation gives 6.21 g/cm3. As for the spin magnetization: 0.000 μB/f.u.

a = 5.2778 Å, b = 5.2778 Å, c = 5.2778 Å
α = 102.11°, β = 102.11°, γ = 102.11°
Fractional coordinates of all 8 atoms:
Ti 0.2241 0.2241 0.6097
Ti 0.2241 0.6097 0.2241
Ti 0.3903 0.7759 0.7759
Ti 0.6097 0.2241 0.2241
Ti 0.7759 0.3903 0.7759
Ti 0.7759 0.7759 0.3903
Pb 0.0000 0.0000 0.0000
C 0.5000 0.5000 0.5000

---

# 4
VASP calculation (GGA-PBE) on a geometry-optimized Ti4Pb2C structure.

Results
The energy of formation from the pure elements is -0.290 eV per atom. As for the energy above the most stable polymorph in this dataset: 38.5 meV per atom. The space group is Pbam, No. 55. For the theoretical density, the calculation gives 7.99 g/cm3. As for the spin magnetization: 0.000 μB/f.u.

a = 7.4534 Å, b = 10.5905 Å, c = 3.2540 Å
α = 90.00°, β = 90.00°, γ = 90.00°
Fractional coordinates of all 14 atoms:
Ti 0.1253 0.1735 0.0000
Ti 0.1634 0.9347 0.5000
Ti 0.3366 0.4347 0.5000
Ti 0.3747 0.6735 0.0000
Ti 0.6253 0.3265 0.0000
Ti 0.6634 0.5653 0.5000
Ti 0.8366 0.0653 0.5000
Ti 0.8747 0.8265 0.0000
Pb 0.0564 0.6444 0.5000
Pb 0.4436 0.1444 0.5000
Pb 0.5564 0.8556 0.5000
Pb 0.9436 0.3556 0.5000
C 0.0000 0.0000 0.0000
C 0.5000 0.5000 0.0000

---

Uncorrected energy per entry: -0.317 -0.290 -0.285 -0.264 hartree per atom